Material: Ba2HgBi2
Method: DFT, GGA-PBEsol
State: optimized geometry

Structure (CIF):
```
data_Ba2HgBi2
_chemical_formula_sum 'Ba4 Hg2 Bi4'
_cell_length_a 6.8757
_cell_length_b 6.8757
_cell_length_c 9.2144
_cell_angle_alpha 90.00
_cell_angle_beta 90.00
_cell_angle_gamma 90.00
_space_group_name_H-M_alt 'I 4/m m m'
_space_group_IT_number 139
_space_group_name_Hall '-I 4 2'
loop_
_atom_site_label
_atom_site_type_symbol
_atom_site_fract_x
_atom_site_fract_y
_atom_site_fract_z
Ba1 Ba 0.0000 0.5000 0.2500
Hg1 Hg 0.0000 0.0000 0.0000
Bi1 Bi 0.0000 0.0000 0.3192
```

Results
Excess energy over the best structure of this formula in the dataset   20.7 kJ per mole of atoms
Energy of formation from the pure elements   -2.35 eV per formula unit

***

Material: Ta2Co2Rh
Method: DFT, GGA-PBEsol
State: optimized geometry

Structure (CIF):
```
data_Ta2Co2Rh
_chemical_formula_sum 'Ta4 Co4 Rh2'
_cell_length_a 6.7523
_cell_length_b 6.7523
_cell_length_c 2.9870
_cell_angle_alpha 90.00
_cell_angle_beta 90.00
_cell_angle_gamma 90.00
_space_group_name_H-M_alt 'P 4/m b m'
_space_group_IT_number 127
_space_group_name_Hall '-P 4 2ab'
loop_
_atom_site_label
_atom_site_type_symbol
_atom_site_fract_x
_atom_site_fract_y
_atom_site_fract_z
Ta1 Ta 0.1739 0.3261 0.0000
Co1 Co 0.1270 0.6270 0.5000
Rh1 Rh 0.0000 0.0000 0.5000
```

Results
Energy of formation from the pure elements   -1.70 eV per formula unit

***

Material: RbNiBr3
Method: DFT, GGA-PBEsol
State: optimized geometry

Structure (CIF):
```
data_RbNiBr3
_chemical_formula_sum 'Rb2 Ni2 Br6'
_cell_length_a 7.2269
_cell_length_b 7.2269
_cell_length_c 6.1177
_cell_angle_alpha 90.00
_cell_angle_beta 90.00
_cell_angle_gamma 120.00
_space_group_name_H-M_alt 'P 63/m m c'
_space_group_IT_number 194
_space_group_name_Hall '-P 6c 2c'
loop_
_atom_site_label
_atom_site_type_symbol
_atom_site_fract_x
_atom_site_fract_y
_atom_site_fract_z
Rb1 Rb 0.3333 0.6667 0.2500
Ni1 Ni 0.0000 0.0000 0.0000
Br1 Br 0.1590 0.3180 0.7500
```

Results
Raw total energy   -3.449 eV per atom

***

Material: CoRh4
Method: DFT, GGA-PBEsol
State: optimized geometry

Structure (CIF):
```
data_CoRh4
_chemical_formula_sum 'Co2 Rh8'
_cell_length_a 2.6507
_cell_length_b 2.6507
_cell_length_c 18.3076
_cell_angle_alpha 90.00
_cell_angle_beta 90.00
_cell_angle_gamma 90.00
_space_group_name_H-M_alt 'I 4/m m m'
_space_group_IT_number 139
_space_group_name_Hall '-I 4 2'
loop_
_atom_site_label
_atom_site_type_symbol
_atom_site_fract_x
_atom_site_fract_y
_atom_site_fract_z
Co1 Co 0.0000 0.0000 0.0000
Rh1 Rh 0.0000 0.0000 0.1985
Rh2 Rh 0.0000 0.0000 0.4056
```

Results
Excess energy over the best structure of this formula in the dataset   0.0 kJ per mole of atoms
Energy of formation from the pure elements   0.17 eV per formula unit

***

Material: NaBS2O8
Method: DFT, GGA-PBEsol
State: optimized geometry

Structure (CIF):
```
data_NaBS2O8
_chemical_formula_sum 'Na2 B2 S4 O16'
_cell_length_a 5.5482
_cell_length_b 7.5448
_cell_length_c 7.7855
_cell_angle_alpha 90.00
_cell_angle_beta 108.64
_cell_angle_gamma 90.00
_space_group_name_H-M_alt 'P 1 2/c 1'
_space_group_IT_number 13
_space_group_name_Hall '-P 2yc'
loop_
_atom_site_label
_atom_site_type_symbol
_atom_site_fract_x
_atom_site_fract_y
_atom_site_fract_z
Na1 Na 0.0000 0.0668 0.2500
B1 B 0.5000 0.4543 0.7500
S1 S 0.3702 0.2742 0.0061
O1 O 0.1654 0.1528 0.9933
O2 O 0.3221 0.4422 0.1044
O3 O 0.3267 0.3405 0.8116
O4 O 0.3736 0.2129 0.4123
```

Results
Raw total energy   -6.623 eV per atom

***

Material: InAgTe2
Method: DFT, GGA-PBEsol
State: optimized geometry

Structure (CIF):
```
data_InAgTe2
_chemical_formula_sum 'In1 Ag1 Te2'
_cell_length_a 4.5140
_cell_length_b 4.5140
_cell_length_c 6.4476
_cell_angle_alpha 90.00
_cell_angle_beta 90.00
_cell_angle_gamma 90.00
_space_group_name_H-M_alt 'P -4 m 2'
_space_group_IT_number 115
_space_group_name_Hall 'P -4 -2'
loop_
_atom_site_label
_atom_site_type_symbol
_atom_site_fract_x
_atom_site_fract_y
_atom_site_fract_z
In1 In 0.0000 0.0000 0.0000
Ag1 Ag 0.5000 0.5000 0.5000
Te1 Te 0.0000 0.5000 0.2618
```

Results
Raw total energy   -3.551 eV per atom

***

Material: In3Ir
Method: DFT, GGA-PBEsol
State: optimized geometry

Structure (CIF):
```
data_In3Ir
_chemical_formula_sum 'In6 Ir2'
_cell_length_a 5.5998
_cell_length_b 8.1905
_cell_length_c 3.4150
_cell_angle_alpha 90.00
_cell_angle_beta 90.00
_cell_angle_gamma 90.00
_space_group_name_H-M_alt 'C m m m'
_space_group_IT_number 65
_space_group_name_Hall '-C 2 2'
loop_
_atom_site_label
_atom_site_type_symbol
_atom_site_fract_x
_atom_site_fract_y
_atom_site_fract_z
In1 In 0.0000 0.0000 0.0000
In2 In 0.2500 0.2500 0.5000
Ir1 Ir 0.0000 0.5000 0.0000
```

Results
Energy of formation from the pure elements   0.81 eV per formula unit

***

Material: SrHf2Co2
Method: DFT, GGA-PBEsol
State: optimized geometry

Structure (CIF):
```
data_SrHf2Co2
_chemical_formula_sum 'Sr2 Hf4 Co4'
_cell_length_a 4.5492
_cell_length_b 4.5492
_cell_length_c 10.2931
_cell_angle_alpha 90.00
_cell_angle_beta 90.00
_cell_angle_gamma 90.00
_space_group_name_H-M_alt 'I 4/m m m'
_space_group_IT_number 139
_space_group_name_Hall '-I 4 2'
loop_
_atom_site_label
_atom_site_type_symbol
_atom_site_fract_x
_atom_site_fract_y
_atom_site_fract_z
Sr1 Sr 0.0000 0.0000 0.0000
Hf1 Hf 0.0000 0.0000 0.3390
Co1 Co 0.0000 0.5000 0.2500
```

Results
Energy of formation from the pure elements   1.24 eV per formula unit

***

Material: KBaLi2
Method: DFT, GGA-PBEsol
State: optimized geometry

Structure (CIF):
```
data_KBaLi2
_chemical_formula_sum 'K4 Ba4 Li8'
_cell_length_a 8.6633
_cell_length_b 8.6633
_cell_length_c 8.6633
_cell_angle_alpha 90.00
_cell_angle_beta 90.00
_cell_angle_gamma 90.00
_space_group_name_H-M_alt 'F -4 3 m'
_space_group_IT_number 216
_space_group_name_Hall 'F -4 2 3'
loop_
_atom_site_label
_atom_site_type_symbol
_atom_site_fract_x
_atom_site_fract_y
_atom_site_fract_z
K1 K 0.0000 0.0000 0.0000
Ba1 Ba 0.2500 0.2500 0.7500
Li1 Li 0.0000 0.0000 0.5000
Li2 Li 0.2500 0.2500 0.2500
```

Results
Excess energy over the best structure of this formula in the dataset   6.5 kJ per mole of atoms
Energy of formation from the pure elements   0.78 eV per formula unit

***

Material: Sr2Pr2CrNiO8
Method: DFT, GGA-PBEsol
State: optimized geometry

Structure (CIF):
```
data_Sr2Pr2CrNiO8
_chemical_formula_sum 'Sr4 Pr4 Cr2 Ni2 O16'
_cell_length_a 5.3495
_cell_length_b 5.3258
_cell_length_c 12.4450
_cell_angle_alpha 90.00
_cell_angle_beta 90.00
_cell_angle_gamma 90.00
_space_group_name_H-M_alt 'A m m 2'
_space_group_IT_number 38
_space_group_name_Hall 'A 2 -2'
loop_
_atom_site_label
_atom_site_type_symbol
_atom_site_fract_x
_atom_site_fract_y
_atom_site_fract_z
Sr1 Sr 0.0000 0.0000 0.0000
Sr2 Sr 0.5000 0.0000 0.2102
Pr1 Pr 0.0000 0.0000 0.7185
Pr2 Pr 0.5000 0.0000 0.4928
Cr1 Cr 0.5000 0.0000 0.8569
Ni1 Ni 0.0000 0.0000 0.3548
O1 O 0.0000 0.0000 0.1906
O2 O 0.0000 0.0000 0.5322
O3 O 0.2548 0.2475 0.8554
O4 O 0.5000 0.0000 0.0140
O5 O 0.5000 0.0000 0.6850
```

Results
Raw total energy   -7.736 eV per atom

***

Material: Tc2MoRu
Method: DFT, GGA-PBEsol
State: optimized geometry

Structure (CIF):
```
data_Tc2MoRu
_chemical_formula_sum 'Tc2 Mo1 Ru1'
_cell_length_a 3.1014
_cell_length_b 3.1014
_cell_length_c 5.9537
_cell_angle_alpha 90.00
_cell_angle_beta 90.00
_cell_angle_gamma 90.00
_space_group_name_H-M_alt 'P 4/m m m'
_space_group_IT_number 123
_space_group_name_Hall '-P 4 2'
loop_
_atom_site_label
_atom_site_type_symbol
_atom_site_fract_x
_atom_site_fract_y
_atom_site_fract_z
Tc1 Tc 0.0000 0.0000 0.2415
Mo1 Mo 0.5000 0.5000 0.0000
Ru1 Ru 0.5000 0.5000 0.5000
```

Results
Excess energy over the best structure of this formula in the dataset   1.6 kJ per mole of atoms
Energy of formation from the pure elements   1.10 eV per formula unit

***

Material: ZrRe2Te
Method: DFT, GGA-PBEsol
State: optimized geometry

Structure (CIF):
```
data_ZrRe2Te
_chemical_formula_sum 'Zr2 Re4 Te2'
_cell_length_a 5.5793
_cell_length_b 9.7580
_cell_length_c 2.9353
_cell_angle_alpha 90.00
_cell_angle_beta 118.41
_cell_angle_gamma 90.00
_space_group_name_H-M_alt 'C 1 2/m 1'
_space_group_IT_number 12
_space_group_name_Hall '-C 2y'
loop_
_atom_site_label
_atom_site_type_symbol
_atom_site_fract_x
_atom_site_fract_y
_atom_site_fract_z
Zr1 Zr 0.0000 0.0000 0.0000
Re1 Re 0.2500 0.2500 0.5000
Te1 Te 0.0000 0.5000 0.0000
```

Results
Raw total energy   -9.379 eV per atom